This record from Alexandria describes a relaxed LiMn2C4O12 crystal. The functional is GGA+U. Values from VASP.

```
&SYSTEM
  ibrav = 0, nat = 19, ntyp = 4
/
ATOMIC_SPECIES
Li 6.94 Li.upf
Mn 54.94 Mn.upf
C 12.01 C.upf
O 16.00 O.upf
CELL_PARAMETERS angstrom
5.0732 0.0000 0.0000
-2.1808 6.5125 0.0000
-0.3854 -0.2896 7.6407
ATOMIC_POSITIONS angstrom
Li 0.0000 0.0000 0.0000
Mn 1.2328 5.5520 3.4071
Mn 2.1949 2.2400 7.2625
C 2.4376 0.0073 1.4247
C 1.5270 3.3864 1.5768
C 3.1487 1.2044 5.3002
C 2.0962 4.6725 5.4313
O -0.4129 6.1678 2.4811
O 0.8536 3.1650 0.4925
O 1.8927 0.4918 0.3890
O 0.9541 3.8232 2.6456
O 0.8138 4.8698 5.1905
O 1.9621 1.7236 5.3518
O 1.5593 6.3145 1.5409
O 2.7960 3.0987 1.5142
O 3.6732 0.7736 4.2088
O 2.5333 4.3443 6.5776
O 3.8048 1.2168 6.4349
O 2.8427 4.9185 4.3967
```

Results
E_tot   -7.337 eV/atom